# 1
Density functional theory data (GGA-PBE) for a relaxed U2HCl8 crystal.

abc: 7.952 7.399 7.399
angles: 109.12 95.34 95.34
Each line ends with the local moment (μB).
Element x y z (fractional)
U 0.269 0.083 0.083  1.63
U 0.731 0.917 0.917  1.63
H 0.000 0.000 0.000  -0.01
Cl 0.749 0.142 0.732  -0.05
Cl 0.251 0.268 0.858  -0.05
Cl 0.605 0.196 0.196  -0.03
Cl 0.395 0.804 0.804  -0.03
Cl 0.749 0.732 0.142  -0.05
Cl 0.251 0.858 0.268  -0.05
Cl 0.175 0.345 0.345  -0.04
Cl 0.825 0.655 0.655  -0.04

DOS at the Fermi energy   3.07 states/eV per cell
Final energy   -5.13 eV/atom
Space group   No. 12
Total moment   3.00 μB/cell

=====

# 2
Density functional theory data (GGA-PBE) for a relaxed UHCl6 crystal.

abc: 7.030 7.058 10.277
angles: 47.54 46.24 64.57
Each line ends with the local moment (μB).
Element x y z (fractional)
U 0.000 0.000 0.000  1.17
H 0.500 0.500 0.500  0.00
Cl 0.225 0.480 0.708  -0.01
Cl 0.907 0.108 0.764  -0.04
Cl 0.569 0.153 0.200  -0.04
Cl 0.093 0.892 0.236  -0.04
Cl 0.775 0.520 0.292  -0.01
Cl 0.431 0.847 0.800  -0.04

DOS at the Fermi energy   0.24 states/eV per cell
Final energy   -4.54 eV/atom
Space group   No. 2
Total moment   1.00 μB/cell

=====

# 3
Density functional theory data (GGA-PBE) for a relaxed UHCl3 crystal.

abc: 4.001 7.652 7.676
angles: 84.54 90.00 90.00
Each line ends with the local moment (μB).
Element x y z (fractional)
U 0.250 0.735 0.142  2.08
U 0.750 0.265 0.858  2.08
H 0.750 0.406 0.631  -0.04
H 0.250 0.594 0.369  -0.04
Cl 0.750 0.471 0.169  -0.03
Cl 0.250 0.131 0.104  -0.03
Cl 0.750 0.842 0.350  -0.04
Cl 0.250 0.529 0.831  -0.03
Cl 0.250 0.158 0.650  -0.04
Cl 0.750 0.869 0.896  -0.03

DOS at the Fermi energy   15.42 states/eV per cell
Final energy   -5.17 eV/atom
Space group   No. 11
Total moment   4.00 μB/cell

=====

# 4
Density functional theory data (GGA-PBE) for a relaxed UH2Cl3 crystal.

abc: 4.173 5.489 8.995
angles: 107.77 90.02 90.00
Each line ends with the local moment (μB).
Element x y z (fractional)
U 0.500 0.000 0.000  2.90
H 0.501 0.696 0.392  0.38
H 0.499 0.304 0.608  0.38
Cl 0.500 0.500 0.000  -0.01
Cl 0.000 0.106 0.211  -0.01
Cl 0.000 0.894 0.789  -0.01

DOS at the Fermi energy   4.79 states/eV per cell
Final energy   -4.26 eV/atom
Space group   No. 65
Total moment   5.00 μB/cell

=====

# 5
Density functional theory data (GGA-PBE) for a relaxed VHCl3 crystal.

abc: 4.338 4.338 4.338
angles: 90.00 90.00 90.00
Each line ends with the local moment (μB).
Element x y z (fractional)
H 0.000 0.000 0.000  0.02
V 0.500 0.500 0.500  2.76
Cl 0.000 0.500 0.000  -0.08
Cl 0.000 0.000 0.500  -0.08
Cl 0.500 0.000 0.000  -0.08

DOS at the Fermi energy   3.78 states/eV per cell
Final energy   -3.31 eV/atom
Space group   No. 221
Total moment   2.93 μB/cell

=====

# 6
Density functional theory data (GGA-PBE) for a relaxed VHCl4 crystal.

abc: 6.216 5.716 9.100
angles: 71.70 88.70 85.87
Each line ends with the local moment (μB).
Element x y z (fractional)
V 0.750 0.050 0.400  1.89
V 0.250 0.950 0.600  1.89
H 0.250 0.356 0.789  0.01
H 0.750 0.644 0.211  0.01
Cl 0.372 0.101 0.800  -0.01
Cl 0.128 0.599 0.800  -0.01
Cl 0.412 0.273 0.408  -0.04
Cl 0.588 0.727 0.592  -0.04
Cl 0.912 0.182 0.592  -0.04
Cl 0.872 0.401 0.200  -0.01
Cl 0.088 0.818 0.408  -0.04
Cl 0.628 0.899 0.200  -0.01

DOS at the Fermi energy   9.40 states/eV per cell
Final energy   -4.26 eV/atom
Space group   No. 15
Total moment   4.00 μB/cell

=====

# 7
Density functional theory data (GGA-PBE) for a relaxed V2HCl8 crystal.

abc: 7.243 7.359 7.359
angles: 72.82 93.63 93.63
Each line ends with the local moment (μB).
Element x y z (fractional)
V 0.696 0.798 0.798  1.27
V 0.304 0.202 0.202  1.27
H 0.000 0.000 0.000  0.19
Cl 0.157 0.289 0.926  -0.03
Cl 0.843 0.074 0.711  -0.03
Cl 0.403 0.820 0.820  -0.01
Cl 0.597 0.180 0.180  -0.01
Cl 0.157 0.926 0.289  -0.03
Cl 0.843 0.711 0.074  -0.03
Cl 0.748 0.621 0.621  -0.01
Cl 0.252 0.379 0.379  -0.01

DOS at the Fermi energy   10.52 states/eV per cell
Final energy   -4.15 eV/atom
Space group   No. 12
Total moment   3.00 μB/cell

=====

# 8
Density functional theory data (GGA-PBE) for a relaxed VH2Cl crystal.

abc: 3.854 3.854 3.854
angles: 60.00 60.00 60.00
Each line ends with the local moment (μB).
Element x y z (fractional)
H 0.250 0.250 0.250  -0.08
H 0.750 0.750 0.750  -0.08
V 0.500 0.500 0.500  2.47
Cl 0.000 0.000 0.000  -0.11

DOS at the Fermi energy   2.96 states/eV per cell
Final energy   -3.77 eV/atom
Space group   No. 225
Total moment   2.36 μB/cell

=====

# 9
Density functional theory data (GGA-PBE) for a relaxed VHCl2 crystal.

abc: 7.227 7.227 6.434
angles: 55.83 55.83 90.00
Each line ends with the local moment (μB).
Element x y z (fractional)
H 0.500 0.500 0.000  0.38
H 0.250 0.750 0.500  0.38
V 0.000 0.000 0.000  2.62
V 0.750 0.250 0.500  2.62
Cl 0.717 0.125 0.250  -0.02
Cl 0.033 0.625 0.250  -0.02
Cl 0.375 0.283 0.750  -0.02
Cl 0.875 0.967 0.750  -0.02

DOS at the Fermi energy   3.32 states/eV per cell
Final energy   -4.13 eV/atom
Space group   No. 122
Total moment   8.00 μB/cell

=====

# 10
Density functional theory data (GGA-PBE) for a relaxed VHCl2 crystal.

abc: 9.481 9.481 9.481
angles: 22.18 22.18 22.18
Each line ends with the local moment (μB).
Element x y z (fractional)
H 0.000 0.000 0.000  0.38
V 0.500 0.500 0.500  2.64
Cl 0.881 0.881 0.881  -0.02
Cl 0.119 0.119 0.119  -0.02

Final energy   -4.33 eV/atom
Space group   No. 166
Total moment   4.00 μB/cell

=====

# 11
Density functional theory data (GGA-PBE) for a relaxed VH2Cl8 crystal.

abc: 7.008 6.570 9.005
angles: 111.81 90.00 122.23
Each line ends with the local moment (μB).
Element x y z (fractional)
V 0.000 0.000 0.000  -0.11
H 0.773 0.545 0.540  0.00
H 0.227 0.455 0.460  0.00
Cl 0.931 0.320 0.093  0.16
Cl 0.389 0.320 0.093  0.16
Cl 0.069 0.680 0.907  0.16
Cl 0.355 0.710 0.555  0.04
Cl 0.611 0.680 0.907  0.16
Cl 0.995 0.990 0.249  0.14
Cl 0.005 0.010 0.751  0.14
Cl 0.645 0.290 0.445  0.04

DOS at the Fermi energy   11.08 states/eV per cell
Final energy   -3.39 eV/atom
Space group   No. 12
Total moment   1.14 μB/cell

=====

# 12
Density functional theory data (GGA-PBE) for a relaxed VHCl2 crystal.

abc: 4.348 4.348 4.348
angles: 60.00 60.00 60.00
Each line ends with the local moment (μB).
Element x y z (fractional)
H 0.000 0.000 0.000  -0.26
V 0.500 0.500 0.500  2.49
Cl 0.250 0.250 0.250  -0.13
Cl 0.750 0.750 0.750  -0.13

DOS at the Fermi energy   1.64 states/eV per cell
Final energy   -4.03 eV/atom
Space group   No. 225
Total moment   2.00 μB/cell

=====

# 13
Density functional theory data (GGA-PBE) for a relaxed VH2Cl4 crystal.

abc: 3.705 7.084 6.210
angles: 85.39 74.06 90.72
Each line ends with the local moment (μB).
Element x y z (fractional)
V 0.000 0.071 0.000  2.61
H 0.753 0.853 0.482  0.01
H 0.247 0.290 0.518  0.01
Cl 0.588 0.924 0.801  -0.01
Cl 0.133 0.360 0.719  -0.01
Cl 0.412 0.219 0.199  -0.01
Cl 0.867 0.783 0.281  -0.01

Final energy   -4.07 eV/atom
Space group   No. 2
Total moment   3.00 μB/cell

=====

# 14
Density functional theory data (GGA-PBE) for a relaxed V3HCl crystal.

abc: 3.882 3.882 3.882
angles: 90.00 90.00 90.00
Element x y z (fractional)
H 0.000 0.000 0.000
V 0.000 0.500 0.000
V 0.000 0.000 0.500
V 0.500 0.000 0.000
Cl 0.500 0.500 0.500

DOS at the Fermi energy   4.68 states/eV per cell
Final energy   -6.04 eV/atom
Space group   No. 221
Total moment   0.00 μB/cell

=====

# 15
Density functional theory data (GGA-PBE) for a relaxed VH2Cl crystal.

abc: 6.500 6.500 5.170
angles: 51.05 51.05 90.00
Each line ends with the local moment (μB).
Element x y z (fractional)
H 0.792 0.125 0.250  -0.04
H 0.958 0.625 0.250  -0.04
H 0.375 0.208 0.750  -0.04
H 0.875 0.042 0.750  -0.04
V 0.000 0.000 0.000  1.90
V 0.750 0.250 0.500  1.90
Cl 0.500 0.500 0.000  -0.04
Cl 0.250 0.750 0.500  -0.04

DOS at the Fermi energy   3.91 states/eV per cell
Final energy   -4.41 eV/atom
Space group   No. 122
Total moment   4.00 μB/cell

=====

# 16
Density functional theory data (GGA-PBE) for a relaxed V2HCl6 crystal.

abc: 6.293 10.161 10.161
angles: 64.26 52.41 52.41
Each line ends with the local moment (μB).
Element x y z (fractional)
V 0.982 0.664 0.843  2.26
V 0.518 0.157 0.336  2.26
V 0.018 0.336 0.157  2.26
V 0.482 0.843 0.664  2.26
H 0.250 0.064 0.936  0.01
H 0.750 0.936 0.064  0.01
Cl 0.362 0.722 0.581  -0.03
Cl 0.138 0.419 0.278  -0.03
Cl 0.638 0.278 0.419  -0.03
Cl 0.862 0.581 0.722  -0.03
Cl 0.866 0.877 0.388  -0.02
Cl 0.634 0.612 0.123  -0.02
Cl 0.134 0.123 0.612  -0.02
Cl 0.366 0.388 0.877  -0.02
Cl 0.075 0.796 0.957  -0.01
Cl 0.425 0.043 0.204  -0.01
Cl 0.925 0.204 0.043  -0.01
Cl 0.575 0.957 0.796  -0.01

DOS at the Fermi energy   15.37 states/eV per cell
Final energy   -4.64 eV/atom
Space group   No. 15
Total moment   10.00 μB/cell

=====

# 17
Density functional theory data (GGA-PBE) for a relaxed VH2Cl3 crystal.

abc: 7.421 16.061 3.488
angles: 70.29 62.10 112.11
Each line ends with the local moment (μB).
Element x y z (fractional)
V 0.073 0.249 0.321  1.87
V 0.927 0.751 0.679  1.87
H 0.325 0.799 0.206  0.00
H 0.642 0.142 0.912  0.00
H 0.358 0.858 0.088  0.00
H 0.675 0.201 0.794  0.00
Cl 0.507 0.674 0.218  -0.03
Cl 0.493 0.326 0.782  -0.03
Cl 0.904 0.638 0.378  -0.03
Cl 0.078 0.891 0.811  -0.02
Cl 0.922 0.109 0.189  -0.02
Cl 0.096 0.362 0.622  -0.03

DOS at the Fermi energy   8.56 states/eV per cell
Final energy   -4.33 eV/atom
Space group   No. 2
Total moment   4.00 μB/cell

=====

# 18
Density functional theory data (GGA-PBE) for a relaxed VH3Cl crystal.

abc: 3.598 3.598 3.598
angles: 90.00 90.00 90.00
Each line ends with the local moment (μB).
Element x y z (fractional)
H 0.000 0.500 0.000  -0.05
H 0.000 0.000 0.500  -0.05
H 0.500 0.000 0.000  -0.05
V 0.000 0.000 0.000  1.38
Cl 0.500 0.500 0.500  -0.23

DOS at the Fermi energy   3.77 states/eV per cell
Final energy   -3.78 eV/atom
Space group   No. 221
Total moment   1.05 μB/cell

=====

# 19
Density functional theory data (GGA-PBE) for a relaxed VHCl3 crystal.

abc: 3.482 6.882 10.373
angles: 90.00 90.00 108.48
Each line ends with the local moment (μB).
Element x y z (fractional)
V 0.475 0.296 0.750  1.06
V 0.525 0.704 0.250  1.06
H 0.214 0.052 0.750  -0.03
H 0.786 0.948 0.250  -0.03
Cl 0.110 0.766 0.403  -0.03
Cl 0.890 0.234 0.597  -0.03
Cl 0.110 0.766 0.097  -0.03
Cl 0.890 0.234 0.903  -0.03
Cl 0.521 0.623 0.750  -0.04
Cl 0.479 0.377 0.250  -0.04

DOS at the Fermi energy   0.95 states/eV per cell
Final energy   -4.30 eV/atom
Space group   No. 11
Total moment   2.00 μB/cell

=====

# 20
Density functional theory data (GGA-PBE) for a relaxed VH2Cl crystal.

abc: 2.689 2.689 8.397
angles: 80.79 80.79 60.00
Each line ends with the local moment (μB).
Element x y z (fractional)
H 0.126 0.126 0.623  0.00
H 0.874 0.874 0.377  0.00
Cl 0.000 0.000 0.000  0.00
V 0.500 0.500 0.500  0.07

DOS at the Fermi energy   2.49 states/eV per cell
Final energy   -4.26 eV/atom
Space group   No. 166
Total moment   0.07 μB/cell